5
Lattice="-1.798 1.798 6.026 1.798 -1.798 6.026 1.798 1.798 -6.026" Properties=species:S:1:pos:R:3 comment="Co2Cu2Bi | the Alexandria database | PBE | relaxed" dft_energy_ev_per_atom=-4.8175 magnetic_moment_mub_per_cell=3.28 dos_at_fermi_per_ev_atom=0.891 space_group="No. 139" formation_enthalpy_0k_ev_per_atom=0.439 pbc="T T T"
Co 1.798 0.000 3.013
Co 0.000 1.798 3.013
Cu 0.000 0.000 1.308
Cu 0.000 0.000 10.743
Bi 0.000 0.000 6.026